Entry 1:
8
Lattice="4.235 0.000 0.000 2.117 3.667 0.000 2.117 1.222 8.798" Properties=species:S:1:pos:R:3 comment="SmAl4NiPt2 (PBE, relaxed)" mass_density_g_cm3=8.59 sg=R-3m n_ef_per_ev_fu=4.43 pbc="T T T"
Al 4.235 2.445 6.884
Al 2.117 1.222 5.217
Al 4.235 2.445 1.914
Al 6.352 3.667 3.580
Pt 6.352 3.667 6.204
Pt 2.117 1.222 2.594
Sm 0.000 0.000 0.000
Ni 4.235 2.445 4.399

***

Entry 2:
12
Lattice="5.077 0.000 0.000 -2.539 4.397 0.000 0.000 0.000 12.509" Properties=species:S:1:pos:R:3 comment="CeDy2Ga3 (PBE, relaxed)" mass_density_g_cm3=8.02 sg=P-3m1 n_ef_per_ev_fu=6.89 pbc="T T T"
Ga 0.000 0.000 9.421
Ga 2.539 1.466 1.029
Ga 0.000 2.931 11.481
Ga 2.539 1.466 7.322
Ga 0.000 0.000 3.088
Ga 0.000 2.931 5.187
Dy 0.000 0.000 0.000
Dy 0.000 0.000 6.255
Dy 2.539 1.466 10.463
Dy 0.000 2.931 2.046
Ce 2.539 1.466 4.197
Ce 0.000 2.931 8.312

***

Computed DFT total energy (eV per atom) in order:
-5.55; -4.58